Density functional theory data (PBE) for La8Ge3AuI4 after structural relaxation.

Results
The space group is R-3m (166). The value obtained for the volume is 533 Å³/cell. The value obtained for the density of states at the Fermi level is 11.62 states/eV/f.u. As for the formation energy from raw total energies: -1040 meV/atom.

a b c (Å): 9.213 9.213 9.213
angles (deg): 58.40 58.40 58.40
Fractional coordinates of all 16 atoms:
La 0.233 0.739 0.739
La 0.236 0.236 0.236
La 0.261 0.261 0.767
La 0.261 0.767 0.261
La 0.739 0.233 0.739
La 0.739 0.739 0.233
La 0.764 0.764 0.764
La 0.767 0.261 0.261
Ge 0.000 0.000 0.500
Ge 0.000 0.500 0.000
Ge 0.500 0.000 0.000
Au 0.500 0.500 0.500
I 0.000 0.000 0.000
I 0.000 0.500 0.500
I 0.500 0.000 0.500
I 0.500 0.500 0.000